VASP calculation (SCAN) on CdIr2W at its PBEsol-relaxed geometry.

abc: 2.775 4.852 5.009
angles: 113.77 90.00 90.00
Positions (direct):
Ir 0.000 0.000 0.000
Ir 0.500 0.000 0.500
W 0.500 0.500 0.000
Cd 0.000 0.500 0.500

Summary:
electronic total energy = -60.222 eV per atom
space-group type = P2/m (10)
Fermi-level density of states = 3.56 states/eV/f.u.
energy of formation from the pure elements = 34.1 kJ/mol of atoms